1.
DFT (GGA-PBE) results for a relaxed structure of LaPtNO.

extended XYZ file:
```
8
Lattice="4.606 0.000 0.000 0.000 7.325 0.000 0.000 0.000 4.892" Properties=species:S:1:pos:R:3 pbc="T T T"
La 0.000 1.342 0.000
La 0.000 5.983 2.446
Pt 2.303 3.336 2.887
Pt 2.303 3.989 0.441
N 2.303 2.222 4.403
N 2.303 5.103 1.957
O 0.000 0.836 2.366
O 0.000 6.489 4.813
```

Properties
- crystal system = orthorhombic
- volume (A^3/atom) = 20.63

2.
DFT (GGA-PBE) results for a relaxed structure of LaPtNO.

extended XYZ file:
```
8
Lattice="4.239 0.000 0.000 0.000 4.239 0.000 0.000 0.000 7.619" Properties=species:S:1:pos:R:3 pbc="T T T"
La 1.060 1.060 1.134
La 3.179 3.179 6.485
Pt 1.060 3.179 3.810
Pt 3.179 1.060 3.810
N 1.060 1.060 3.582
N 3.179 3.179 4.037
O 1.060 3.179 0.000
O 3.179 1.060 0.000
```

Properties
- crystal system = tetragonal
- volume (A^3/atom) = 17.11

3.
DFT (GGA-PBE) results for a relaxed structure of LaPtNO.

extended XYZ file:
```
8
Lattice="3.674 0.000 0.000 0.000 6.131 0.000 0.000 0.000 5.719" Properties=species:S:1:pos:R:3 pbc="T T T"
La 0.000 0.971 0.000
La 0.000 5.160 2.859
Pt 1.837 2.543 2.633
Pt 1.837 3.588 5.492
N 0.000 2.450 2.622
N 0.000 3.681 5.481
O 1.837 0.089 4.336
O 1.837 6.042 1.477
```

Properties
- crystal system = orthorhombic
- volume (A^3/atom) = 16.10

4.
DFT (GGA-PBE) results for a relaxed structure of LaPtNO.

extended XYZ file:
```
8
Lattice="5.198 0.000 0.000 0.000 5.198 0.000 0.000 0.000 4.493" Properties=species:S:1:pos:R:3 pbc="T T T"
La 1.300 3.899 0.000
La 3.899 1.300 0.000
Pt 1.300 1.300 2.231
Pt 3.899 3.899 2.261
N 1.300 1.300 4.478
N 3.899 3.899 0.014
O 1.300 3.899 2.246
O 3.899 1.300 2.246
```

Properties
- crystal system = tetragonal
- volume (A^3/atom) = 15.17

Most stable: 2

1.
DFT (GGA-PBE) results for a relaxed structure of LaTbNO.

extended XYZ file:
```
8
Lattice="3.965 0.000 0.000 0.000 6.959 0.000 0.000 0.000 5.702" Properties=species:S:1:pos:R:3 pbc="T T T"
La 0.000 1.051 0.000
La 0.000 5.908 2.851
Tb 1.982 2.276 2.940
Tb 1.982 4.683 0.089
N 0.000 1.272 2.518
N 0.000 5.687 5.369
O 1.982 2.548 5.159
O 1.982 4.411 2.308
```

Properties
- crystal system = orthorhombic
- volume (A^3/atom) = 19.67

2.
DFT (GGA-PBE) results for a relaxed structure of LaTbNO.

extended XYZ file:
```
8
Lattice="5.071 0.000 0.000 0.000 4.087 0.000 0.000 0.000 7.163" Properties=species:S:1:pos:R:3 pbc="T T T"
La 1.268 0.000 1.173
La 3.803 0.000 5.990
Tb 1.268 2.044 4.741
Tb 3.803 2.044 2.422
N 1.268 2.044 2.473
N 3.803 2.044 4.691
O 1.268 0.000 5.747
O 3.803 0.000 1.416
```

Properties
- crystal system = orthorhombic
- volume (A^3/atom) = 18.56

Most stable: 2

1.
DFT (GGA-PBE) results for a relaxed structure of LaTbNO.

extended XYZ file:
```
16
Lattice="8.362 0.000 0.000 0.000 6.932 0.000 0.000 0.000 5.161" Properties=species:S:1:pos:R:3 pbc="T T T"
La 1.098 0.556 1.290
La 1.098 2.910 3.871
La 7.265 4.022 1.290
La 7.265 6.376 3.871
Tb 3.192 4.007 1.290
Tb 3.192 6.391 3.871
Tb 5.171 0.541 1.290
Tb 5.171 2.925 3.871
N 1.152 0.406 3.871
N 1.152 3.060 1.290
N 7.211 3.871 3.871
N 7.211 6.526 1.290
O 3.225 4.143 3.871
O 3.225 6.255 1.290
O 5.137 0.677 3.871
O 5.137 2.789 1.290
```

Properties
- crystal system = orthorhombic
- volume (A^3/atom) = 18.70

2.
DFT (GGA-PBE) results for a relaxed structure of LaTbNO.

extended XYZ file:
```
8
Lattice="4.493 0.000 0.000 0.000 4.493 0.000 0.000 0.000 8.557" Properties=species:S:1:pos:R:3 pbc="T T T"
La 1.123 1.123 0.920
La 3.370 3.370 7.637
Tb 1.123 3.370 4.279
Tb 3.370 1.123 4.279
N 1.123 1.123 4.842
N 3.370 3.370 3.716
O 1.123 3.370 0.000
O 3.370 1.123 0.000
```

Properties
- crystal system = tetragonal
- volume (A^3/atom) = 21.59

Most stable: 1

1.
DFT (GGA-PBE) results for a relaxed structure of LaTbNO.

extended XYZ file:
```
8
Lattice="4.337 0.000 0.000 0.000 4.337 0.000 0.000 0.000 7.877" Properties=species:S:1:pos:R:3 pbc="T T T"
La 1.084 3.253 0.000
La 3.253 1.084 0.000
Tb 1.084 1.084 3.190
Tb 3.253 3.253 4.687
N 1.084 1.084 6.655
N 3.253 3.253 1.222
O 1.084 3.253 3.938
O 3.253 1.084 3.938
```

Properties
- crystal system = tetragonal
- volume (A^3/atom) = 18.52

2.
DFT (GGA-PBE) results for a relaxed structure of LaTbNO.

extended XYZ file:
```
8
Lattice="4.324 0.000 0.000 0.000 4.324 0.000 0.000 0.000 8.659" Properties=species:S:1:pos:R:3 pbc="T T T"
La 1.081 1.081 1.047
La 3.243 3.243 7.612
Tb 1.081 3.243 4.329
Tb 3.243 1.081 4.329
N 1.081 1.081 5.271
N 3.243 3.243 3.388
O 1.081 3.243 0.000
O 3.243 1.081 0.000
```

Properties
- crystal system = tetragonal
- volume (A^3/atom) = 20.24

Most stable: 2

1.
DFT (GGA-PBE) results for a relaxed structure of NaLaNiPb.

extended XYZ file:
```
16
Lattice="7.089 0.000 0.000 0.000 7.089 0.000 0.000 0.000 7.089" Properties=species:S:1:pos:R:3 pbc="T T T"
Na 0.000 0.000 0.000
Na 0.000 3.545 3.545
Na 3.545 0.000 3.545
Na 3.545 3.545 0.000
La 1.772 1.772 1.772
La 1.772 5.317 5.317
La 5.317 1.772 5.317
La 5.317 5.317 1.772
Ni 0.000 0.000 3.545
Ni 0.000 3.545 0.000
Ni 3.545 0.000 0.000
Ni 3.545 3.545 3.545
Pb 1.772 1.772 5.317
Pb 1.772 5.317 1.772
Pb 5.317 1.772 1.772
Pb 5.317 5.317 5.317
```

Properties
- crystal system = cubic
- volume (A^3/atom) = 22.27

2.
DFT (GGA-PBE) results for a relaxed structure of NaLaNiPb.

extended XYZ file:
```
16
Lattice="7.390 0.000 0.000 0.000 7.390 0.000 0.000 0.000 7.390" Properties=species:S:1:pos:R:3 pbc="T T T"
Na 0.000 0.000 0.000
Na 0.000 3.695 3.695
Na 3.695 0.000 3.695
Na 3.695 3.695 0.000
La 0.000 0.000 3.695
La 0.000 3.695 0.000
La 3.695 0.000 0.000
La 3.695 3.695 3.695
Ni 1.848 1.848 1.848
Ni 1.848 5.543 5.543
Ni 5.543 1.848 5.543
Ni 5.543 5.543 1.848
Pb 1.848 1.848 5.543
Pb 1.848 5.543 1.848
Pb 5.543 1.848 1.848
Pb 5.543 5.543 5.543
```

Properties
- crystal system = cubic
- volume (A^3/atom) = 25.23

Most stable: 1

1.
DFT (GGA-PBE) results for a relaxed structure of NaLaNiSe3.

extended XYZ file:
```
24
Lattice="11.531 0.000 0.000 0.000 4.197 0.000 0.000 0.000 11.972" Properties=species:S:1:pos:R:3 pbc="T T T"
Na 2.051 1.049 0.017
Na 3.714 3.148 6.003
Na 7.817 1.049 5.969
Na 9.480 3.148 11.955
La 0.161 1.049 8.163
La 5.605 3.148 2.177
La 5.926 1.049 9.795
La 11.370 3.148 3.809
Ni 2.858 3.148 9.442
Ni 2.908 1.049 3.456
Ni 8.623 3.148 8.516
Ni 8.673 1.049 2.530
Se 0.625 3.148 10.253
Se 1.407 1.049 5.304
Se 2.572 3.148 2.404
Se 3.193 1.049 8.390
Se 4.359 3.148 11.289
Se 5.141 1.049 4.267
Se 6.390 3.148 7.705
Se 7.172 1.049 0.682
Se 8.338 3.148 3.582
Se 8.959 1.049 9.568
Se 10.124 3.148 6.668
Se 10.906 1.049 1.719
```

Properties
- crystal system = orthorhombic
- volume (A^3/atom) = 24.14

2.
DFT (GGA-PBE) results for a relaxed structure of NaLaNiSe3.

extended XYZ file:
```
12
Lattice="2.080 -6.561 0.000 2.080 6.561 0.000 0.000 0.000 11.340" Properties=species:S:1:pos:R:3 pbc="T T T"
Na 2.080 3.382 8.505
Na 2.080 -3.382 2.835
La 0.000 0.000 0.000
La 0.000 0.000 5.670
Ni 2.080 0.266 2.835
Ni 2.080 -0.266 8.505
Se 2.080 5.561 2.835
Se 2.080 1.852 1.036
Se 2.080 1.852 4.634
Se 2.080 -1.852 6.706
Se 2.080 -1.852 10.304
Se 2.080 -5.561 8.505
```

Properties
- crystal system = orthorhombic
- volume (A^3/atom) = 25.79

Most stable: 1

1.
DFT (GGA-PBE) results for a relaxed structure of NaLaOsW.

extended XYZ file:
```
16
Lattice="6.863 0.000 0.000 0.000 6.863 0.000 0.000 0.000 6.863" Properties=species:S:1:pos:R:3 pbc="T T T"
Na 0.000 0.000 0.000
Na 0.000 3.432 3.432
Na 3.432 0.000 3.432
Na 3.432 3.432 0.000
La 0.000 0.000 3.432
La 0.000 3.432 0.000
La 3.432 0.000 0.000
La 3.432 3.432 3.432
Os 1.716 1.716 5.147
Os 1.716 5.147 1.716
Os 5.147 1.716 1.716
Os 5.147 5.147 5.147
W 1.716 1.716 1.716
W 1.716 5.147 5.147
W 5.147 1.716 5.147
W 5.147 5.147 1.716
```

Properties
- crystal system = cubic
- volume (A^3/atom) = 20.20

2.
DFT (GGA-PBE) results for a relaxed structure of NaLaOsW.

extended XYZ file:
```
16
Lattice="6.749 0.000 0.000 0.000 6.749 0.000 0.000 0.000 6.749" Properties=species:S:1:pos:R:3 pbc="T T T"
Na 0.000 0.000 0.000
Na 0.000 3.375 3.375
Na 3.375 0.000 3.375
Na 3.375 3.375 0.000
La 1.687 1.687 1.687
La 1.687 5.062 5.062
La 5.062 1.687 5.062
La 5.062 5.062 1.687
Os 1.687 1.687 5.062
Os 1.687 5.062 1.687
Os 5.062 1.687 1.687
Os 5.062 5.062 5.062
W 0.000 0.000 3.375
W 0.000 3.375 0.000
W 3.375 0.000 0.000
W 3.375 3.375 3.375
```

Properties
- crystal system = cubic
- volume (A^3/atom) = 19.21

3.
DFT (GGA-PBE) results for a relaxed structure of NaLaOsW.

extended XYZ file:
```
16
Lattice="6.830 0.000 0.000 0.000 6.830 0.000 0.000 0.000 6.830" Properties=species:S:1:pos:R:3 pbc="T T T"
Na 0.000 0.000 0.000
Na 0.000 3.415 3.415
Na 3.415 0.000 3.415
Na 3.415 3.415 0.000
La 1.708 1.708 5.123
La 1.708 5.123 1.708
La 5.123 1.708 1.708
La 5.123 5.123 5.123
Os 0.000 0.000 3.415
Os 0.000 3.415 0.000
Os 3.415 0.000 0.000
Os 3.415 3.415 3.415
W 1.708 1.708 1.708
W 1.708 5.123 5.123
W 5.123 1.708 5.123
W 5.123 5.123 1.708
```

Properties
- crystal system = cubic
- volume (A^3/atom) = 19.92

Most stable: 2

1.
DFT (GGA-PBE) results for a relaxed structure of NaLaPdPb.

extended XYZ file:
```
16
Lattice="7.466 0.000 0.000 0.000 7.466 0.000 0.000 0.000 7.466" Properties=species:S:1:pos:R:3 pbc="T T T"
Na 0.000 0.000 0.000
Na 0.000 3.733 3.733
Na 3.733 0.000 3.733
Na 3.733 3.733 0.000
La 0.000 0.000 3.733
La 0.000 3.733 0.000
La 3.733 0.000 0.000
La 3.733 3.733 3.733
Pd 1.867 1.867 5.600
Pd 1.867 5.600 1.867
Pd 5.600 1.867 1.867
Pd 5.600 5.600 5.600
Pb 1.867 1.867 1.867
Pb 1.867 5.600 5.600
Pb 5.600 1.867 5.600
Pb 5.600 5.600 1.867
```

Properties
- crystal system = cubic
- volume (A^3/atom) = 26.01

2.
DFT (GGA-PBE) results for a relaxed structure of NaLaPdPb.

extended XYZ file:
```
16
Lattice="7.301 0.000 0.000 0.000 7.301 0.000 0.000 0.000 7.301" Properties=species:S:1:pos:R:3 pbc="T T T"
Na 0.000 0.000 0.000
Na 0.000 3.650 3.650
Na 3.650 0.000 3.650
Na 3.650 3.650 0.000
La 1.825 1.825 1.825
La 1.825 5.476 5.476
La 5.476 1.825 5.476
La 5.476 5.476 1.825
Pd 1.825 1.825 5.476
Pd 1.825 5.476 1.825
Pd 5.476 1.825 1.825
Pd 5.476 5.476 5.476
Pb 0.000 0.000 3.650
Pb 0.000 3.650 0.000
Pb 3.650 0.000 0.000
Pb 3.650 3.650 3.650
```

Properties
- crystal system = cubic
- volume (A^3/atom) = 24.32

Most stable: 1

1.
DFT (GGA-PBE) results for a relaxed structure of NaLaPtPb.

extended XYZ file:
```
16
Lattice="7.242 0.000 0.000 0.000 7.242 0.000 0.000 0.000 7.242" Properties=species:S:1:pos:R:3 pbc="T T T"
Na 0.000 0.000 0.000
Na 0.000 3.621 3.621
Na 3.621 0.000 3.621
Na 3.621 3.621 0.000
La 1.810 1.810 5.431
La 1.810 5.431 1.810
La 5.431 1.810 1.810
La 5.431 5.431 5.431
Pt 1.810 1.810 1.810
Pt 1.810 5.431 5.431
Pt 5.431 1.810 5.431
Pt 5.431 5.431 1.810
Pb 0.000 0.000 3.621
Pb 0.000 3.621 0.000
Pb 3.621 0.000 0.000
Pb 3.621 3.621 3.621
```

Properties
- crystal system = cubic
- volume (A^3/atom) = 23.73

2.
DFT (GGA-PBE) results for a relaxed structure of NaLaPtPb.

extended XYZ file:
```
16
Lattice="7.412 0.000 0.000 0.000 7.412 0.000 0.000 0.000 7.412" Properties=species:S:1:pos:R:3 pbc="T T T"
Na 0.000 0.000 0.000
Na 0.000 3.706 3.706
Na 3.706 0.000 3.706
Na 3.706 3.706 0.000
La 0.000 0.000 3.706
La 0.000 3.706 0.000
La 3.706 0.000 0.000
La 3.706 3.706 3.706
Pt 1.853 1.853 1.853
Pt 1.853 5.559 5.559
Pt 5.559 1.853 5.559
Pt 5.559 5.559 1.853
Pb 1.853 1.853 5.559
Pb 1.853 5.559 1.853
Pb 5.559 1.853 1.853
Pb 5.559 5.559 5.559
```

Properties
- crystal system = cubic
- volume (A^3/atom) = 25.45

Most stable: 2

1.
DFT (GGA-PBE) results for a relaxed structure of NaLaZrPt.

extended XYZ file:
```
16
Lattice="7.113 0.000 0.000 0.000 7.113 0.000 0.000 0.000 7.113" Properties=species:S:1:pos:R:3 pbc="T T T"
Na 0.000 0.000 0.000
Na 0.000 3.556 3.556
Na 3.556 0.000 3.556
Na 3.556 3.556 0.000
La 0.000 0.000 3.556
La 0.000 3.556 0.000
La 3.556 0.000 0.000
La 3.556 3.556 3.556
Zr 1.778 1.778 5.335
Zr 1.778 5.335 1.778
Zr 5.335 1.778 1.778
Zr 5.335 5.335 5.335
Pt 1.778 1.778 1.778
Pt 1.778 5.335 5.335
Pt 5.335 1.778 5.335
Pt 5.335 5.335 1.778
```

Properties
- crystal system = cubic
- volume (A^3/atom) = 22.49

2.
DFT (GGA-PBE) results for a relaxed structure of NaLaZrPt.

extended XYZ file:
```
16
Lattice="7.190 0.000 0.000 0.000 7.190 0.000 0.000 0.000 7.190" Properties=species:S:1:pos:R:3 pbc="T T T"
Na 0.000 0.000 0.000
Na 0.000 3.595 3.595
Na 3.595 0.000 3.595
Na 3.595 3.595 0.000
La 1.798 1.798 1.798
La 1.798 5.393 5.393
La 5.393 1.798 5.393
La 5.393 5.393 1.798
Zr 1.798 1.798 5.393
Zr 1.798 5.393 1.798
Zr 5.393 1.798 1.798
Zr 5.393 5.393 5.393
Pt 0.000 0.000 3.595
Pt 0.000 3.595 0.000
Pt 3.595 0.000 0.000
Pt 3.595 3.595 3.595
```

Properties
- crystal system = cubic
- volume (A^3/atom) = 23.24

Most stable: 2

1.
DFT (GGA-PBE) results for a relaxed structure of NaLaZnS3.

extended XYZ file:
```
12
Lattice="2.036 -6.376 0.000 2.036 6.376 0.000 0.000 0.000 11.205" Properties=species:S:1:pos:R:3 pbc="T T T"
Na 2.036 3.209 8.404
Na 2.036 -3.209 2.801
La 0.000 0.000 0.000
La 0.000 0.000 5.603
Zn 2.036 0.438 2.801
Zn 2.036 -0.438 8.404
S 2.036 5.417 2.801
S 2.036 1.778 0.921
S 2.036 1.778 4.682
S 2.036 -1.778 6.523
S 2.036 -1.778 10.284
S 2.036 -5.417 8.404
```

Properties
- crystal system = orthorhombic
- volume (A^3/atom) = 24.25

2.
DFT (GGA-PBE) results for a relaxed structure of NaLaZnS3.

extended XYZ file:
```
12
Lattice="9.549 -2.037 0.000 9.549 2.037 0.000 -2.256 0.000 7.388" Properties=species:S:1:pos:R:3 pbc="T T T"
Na 1.977 0.000 0.627
Na 14.864 0.000 6.761
La 1.994 0.000 4.519
La 14.848 0.000 2.869
Zn 8.329 0.000 1.978
Zn 8.512 0.000 5.411
S -1.128 0.000 3.694
S 4.799 0.000 4.754
S 6.188 0.000 1.115
S 9.549 0.000 0.000
S 10.654 0.000 6.274
S 12.042 0.000 2.634
```

Properties
- crystal system = monoclinic
- volume (A^3/atom) = 23.95

Most stable: 1